# BeReAg2

A relaxed structure of BeReAg2 (PBE-GGA, the Alexandria database).

Calculated density (g/cm³): 11.27
E (eV for the cell shown): -19.4
DOS(E_F) (states/eV/f.u.): 2.1
Space group: No. 65

abc: 5.0953 5.0953 2.6350
angles: 90.00 90.00 117.71
Fractional coordinates of all 4 atoms:
Be  0.0000  0.0000  0.0000
Re  0.5000  0.5000  0.0000
Ag  0.0000  0.5000  0.5000
Ag  0.5000  0.0000  0.5000